Entry 1:
VASP calculation (PBE) on BaAgSb2I after structural relaxation.

Offset from the most stable computed form   4.35 eV/f.u.

POSCAR file:
```
BaAgSb2I
1.0
6.6457 0.0000 0.0000
0.0000 6.6457 0.0000
0.0000 0.0000 6.5372
Ag I Ba Sb
1 1 1 2
direct
0.5000 0.5000 0.5000
0.0000 0.0000 0.5000
0.0000 0.0000 0.0000
0.0000 0.5000 0.0000
0.5000 0.0000 0.0000
```

Entry 2:
VASP calculation (PBE) on LiIr2Br after structural relaxation.

Offset from the most stable computed form   2.37 eV/f.u.

POSCAR file:
```
LiIr2Br
1.0
4.5027 0.0000 0.0000
2.2513 3.8994 0.0000
2.2513 1.2998 3.6764
Br Li Ir
1 1 2
direct
0.5000 0.5000 0.5000
0.2500 0.2500 0.2500
0.7500 0.7500 0.7500
0.0000 0.0000 0.0000
```

Entry 3:
VASP calculation (PBE) on Pr4CoOsBr2 after structural relaxation.

E   -5.771 eV per atom

POSCAR file:
```
Pr4CoOsBr2
1.0
4.0955 0.0000 0.0000
0.0000 7.0532 0.1133
0.0000 -2.4899 7.8790
Pr Co Br Os
4 1 2 1
direct
0.0000 0.2712 0.8055
0.5000 0.7650 0.8016
0.5000 0.2350 0.1984
0.0000 0.7288 0.1945
0.5000 0.5000 0.0000
0.5000 0.0000 0.5000
0.0000 0.5000 0.5000
0.0000 0.0000 0.0000
```